8
Lattice="-3.852 -5.905 2.650 5.629 -1.532 4.763 -2.639 6.139 -0.859" Properties=species:S:1:pos:R:3 comment="PBE Sm5BiSb2, relaxed" crystal_system=tetragonal sg="I4mm, No. 107" dos_at_fermi_per_ev_atom=1.06 formation_energy_uncorrected_ev_per_atom=-0.609 density_g_cm3=8.54 pbc="T T T"
Sm -0.059 -2.410 5.246
Sb 2.024 0.327 3.668
Sm -1.227 0.526 4.418
Bi -0.618 0.854 1.005
Sm -2.062 4.022 0.933
Sm -3.873 1.245 2.178
Sm 0.584 3.301 3.171
Sb -2.716 -1.859 2.612



5
Lattice="-0.315 -4.549 -0.497 2.133 -0.587 4.018 -4.048 0.045 2.156" Properties=species:S:1:pos:R:3 comment="PBE Nb3VW, relaxed" crystal_system=cubic e_form_mev_per_atom=1255 sg="Pm-3m, No. 221" dos_at_fermi_per_ev_atom=1.04 density_g_cm3=8.84 pbc="T T T"
W -1.115 -2.545 2.838
Nb 1.067 -0.293 2.009
V 0.000 0.000 0.000
Nb -2.024 0.023 1.078
Nb -0.158 -2.274 -0.249



4
Lattice="-0.838 -6.591 -5.606 0.113 -8.075 -3.218 -2.772 -7.448 -3.524" Properties=species:S:1:pos:R:3 comment="PBE FeTeIr2, relaxed" crystal_system=trigonal sg="R3m, No. 160" dos_at_fermi_per_ev_atom=1.15 formation_energy_uncorrected_ev_per_atom=0.537 density_g_cm3=14.50 pbc="T T T"
Ir -0.882 -5.580 -3.116
Fe -2.608 -16.497 -9.212
Te -1.741 -11.011 -6.149
Ir -0.013 -0.083 -0.046



5
Lattice="5.222 0.000 0.000 0.000 5.037 0.000 0.000 0.000 5.222" Properties=species:S:1:pos:R:3 comment="PBE ZrAl2PdAu, relaxed" crystal_system=tetragonal e_form_mev_per_atom=1057 sg="P4/mmm, No. 123" dos_at_fermi_per_ev_atom=0.88 density_g_cm3=5.42 pbc="T T T"
Al 0.000 0.000 2.611
Au 0.000 2.518 0.000
Zr 0.000 0.000 0.000
Al 2.611 0.000 0.000
Pd 2.611 2.518 2.611



15
Lattice="-6.307 1.269 1.803 1.431 -5.513 -3.491 1.941 0.458 6.467" Properties=species:S:1:pos:R:3 comment="PBE Na3Y3TiO8, relaxed" crystal_system=trigonal sg="R-3m, No. 166" dos_at_fermi_per_ev_atom=0.00 formation_energy_uncorrected_ev_per_atom=-2.833 density_g_cm3=3.95 pbc="T T T"
Na 0.000 0.000 0.000
O -0.345 -2.431 0.502
Y -2.183 0.863 4.135
Y 1.686 -2.528 1.488
O -2.089 -4.117 2.449
Y -1.467 -1.893 2.389
O 0.613 -1.764 3.385
Ti 0.971 0.229 3.233
O 1.406 -4.820 1.450
O -0.845 0.330 2.330
O -3.547 -2.023 1.394
O -2.589 -1.356 4.277
Na 0.716 -2.757 -1.746
Na -2.438 -2.122 -0.844
O -4.340 1.033 3.329



4
Lattice="4.640 0.000 0.000 2.320 4.018 0.000 2.320 1.339 3.788" Properties=species:S:1:pos:R:3 comment="PBE KMnBe2, relaxed" crystal_system=cubic e_form_mev_per_atom=1276 sg="F-43m, No. 216" dos_at_fermi_per_ev_atom=0.28 density_g_cm3=2.63 pbc="T T T"
Mn 6.959 4.018 2.841
Be 0.000 0.000 0.000
K 4.640 2.679 1.894
Be 2.320 1.339 0.947



Please write out number 5 again, unchanged.
15
Lattice="-6.307 1.269 1.803 1.431 -5.513 -3.491 1.941 0.458 6.467" Properties=species:S:1:pos:R:3 comment="PBE Na3Y3TiO8, relaxed" crystal_system=trigonal sg="R-3m, No. 166" dos_at_fermi_per_ev_atom=0.00 formation_energy_uncorrected_ev_per_atom=-2.833 density_g_cm3=3.95 pbc="T T T"
Na 0.000 0.000 0.000
O -0.345 -2.431 0.502
Y -2.183 0.863 4.135
Y 1.686 -2.528 1.488
O -2.089 -4.117 2.449
Y -1.467 -1.893 2.389
O 0.613 -1.764 3.385
Ti 0.971 0.229 3.233
O 1.406 -4.820 1.450
O -0.845 0.330 2.330
O -3.547 -2.023 1.394
O -2.589 -1.356 4.277
Na 0.716 -2.757 -1.746
Na -2.438 -2.122 -0.844
O -4.340 1.033 3.329



Number 1 is which compound? Sm5BiSb2